# 1
The following is a DFT calculation (PBE-GGA) of a relaxed structure of SnIrS.

As for the uncorrected formation energy: -0.146 eV/atom.

It has space group P2_1 (No. 4), with a = 3.066 Å, b = 6.073 Å, c = 6.412 Å, α = 90.00°, β = 103.65° and γ = 90.00°. Symmetry generates all atoms from Sn at (0.189, 0.000, 0.378), Ir at (0.385, 0.170, 0.772) and S at (0.443, 0.802, 0.879).

# 2
The following is a DFT calculation (PBE-GGA) of a relaxed structure of AcNdInIr.

The energy of formation is -0.32 eV per atom.

It has space group F-43m (No. 216), with a = 7.616 Å, b = 7.616 Å, c = 7.616 Å, α = 90.00°, β = 90.00° and γ = 90.00°. Symmetry generates all atoms from Ac at (0.000, 0.000, 0.000), Nd at (0.000, 0.000, 0.500), In at (0.250, 0.250, 0.750) and Ir at (0.250, 0.250, 0.250).

# 3
The following is a DFT calculation (PBE-GGA) of a relaxed structure of LaZn2Ru.

The energy of formation is -0.32 eV per atom.

It has space group Pnma (No. 62), with a = 15.676 Å, b = 7.090 Å, c = 5.687 Å, α = 90.00°, β = 90.00° and γ = 90.00°. Symmetry generates all atoms from La at (0.102, 0.250, 0.217), La at (0.150, 0.750, 0.396), Zn at (0.046, 0.060, 0.724), Zn at (0.200, 0.554, 0.879), Ru at (0.059, 0.750, 0.000) and Ru at (0.189, 0.250, 0.611).

# 4
The following is a DFT calculation (PBE-GGA) of a relaxed structure of Dy5InNi.

The energy of formation is -0.13 eV per atom.

It has space group C2/c (No. 15), with a = 11.016 Å, b = 6.771 Å, c = 11.235 Å, α = 90.00°, β = 109.38° and γ = 90.00°. Symmetry generates all atoms from Dy at (0.000, 0.017, 0.250), Dy at (0.122, 0.328, 0.046), Dy at (0.217, 0.185, 0.638), In at (0.000, 0.469, 0.750) and Ni at (0.000, 0.000, 0.000).

# 5
The following is a DFT calculation (PBE-GGA) of a relaxed structure of AcDy3Y4.

The energy of formation is 0.16 eV per atom. The calculation puts the relative energy among the computed polymorphs at 0.00 eV per formula unit.

It has space group Immm (No. 71), with a = 3.488 Å, b = 11.813 Å, c = 13.078 Å, α = 90.00°, β = 90.00° and γ = 90.00°. Symmetry generates all atoms from Ac at (0.000, 0.000, 0.000), Dy at (0.000, 0.000, 0.500), Dy at (0.000, 0.500, 0.256) and Y at (0.000, 0.255, 0.135).

# 6
The following is a DFT calculation (PBE-GGA) of a relaxed structure of CoSb2Rh.

As for the uncorrected formation energy: 0.485 eV/atom. The calculation puts the relative energy among the computed polymorphs at 2.47 eV per formula unit.

It has space group F-43m (No. 216), with a = 6.678 Å, b = 6.678 Å, c = 6.678 Å, α = 90.00°, β = 90.00° and γ = 90.00°. Symmetry generates all atoms from Co at (0.000, 0.000, 0.000), Sb at (0.000, 0.000, 0.500), Sb at (0.250, 0.250, 0.750) and Rh at (0.250, 0.250, 0.250).

# 7
The following is a DFT calculation (PBE-GGA) of a relaxed structure of Nd2SnRh.

The energy of formation is -0.72 eV per atom.

It has space group P2_1/m (No. 11), with a = 6.363 Å, b = 4.130 Å, c = 8.740 Å, α = 90.00°, β = 109.49° and γ = 90.00°. Symmetry generates all atoms from Nd at (0.173, 0.250, 0.396), Nd at (0.262, 0.750, 0.049), Sn at (0.371, 0.750, 0.704) and Rh at (0.124, 0.250, 0.797).

# 8
The following is a DFT calculation (PBE-GGA) of a relaxed structure of BaLiIn2Au.

The energy of formation is -0.06 eV per atom.

It has space group P4/mmm (No. 123), with a = 5.549 Å, b = 5.549 Å, c = 6.291 Å, α = 90.00°, β = 90.00° and γ = 90.00°. Symmetry generates all atoms from Ba at (0.000, 0.000, 0.000), Li at (0.500, 0.500, 0.000), In at (0.000, 0.500, 0.500) and Au at (0.000, 0.000, 0.500).

Per-record V, Å³/f.u.: 58.0, 110.5, 79.0, 197.6, 269.4, 74.5, 108.3, 193.8
Per-record density of states at the Fermi level, states/eV per atom: 0.76, 0.95, 0.59, 1.10, 1.83, 1.34, 0.74, 0.83